{
  "formula": "TmVGa6",
  "functional": "PBE",
  "state": "optimized geometry",
  "lattice": [[4.8688, -1.6799, 1.0070], [-1.3094, 4.9812, 1.0070], [1.9643, 1.8219, 7.3920]],
  "species": ["Ga", "Ga", "Ga", "Ga", "Ga", "Ga", "V", "Tm"],
  "fractional_positions": [[0.7340, 0.7340, 0.7645], [0.7337, 0.2338, 0.7648], [0.2663, 0.7662, 0.2352], [0.2338, 0.7337, 0.7648], [0.2660, 0.2660, 0.2355], [0.7662, 0.2663, 0.2352], [0.0000, 0.0000, 0.0000], [0.5000, 0.5000, 0.5000]],
  "crystal_system": "monoclinic",
  "magmom_total_mub_per_atom": 0.00,
  "space_group": "No. 12",
  "total_energy_ev_per_atom": -4.17,
  "e_form_ev_per_atom": -0.201
}